{
  "formula": "MnBrF3",
  "functional": "GGA+U",
  "state": "relaxed",
  "magmom_total_mub_per_cell": 5.7,
  "de_polymorph_ev_per_atom": 1.1781,
  "mass_density_g_cm3": 3.304,
  "dft_energy_ev_per_cell": -17.150,
  "cell": [[-2.218, -1.316, -3.791], [3.958, -1.432, -1.819], [-0.662, -4.153, 1.829]],
  "species": ["Mn", "Br", "F", "F", "F"],
  "fractional_positions": [[0.500, 0.500, 0.500], [0.000, 0.000, 0.000], [0.000, 0.500, 0.000], [0.000, 0.000, 0.500], [0.500, 0.000, 0.000]]
}